20
Lattice="7.648 0.000 0.000 -2.549 7.210 0.000 -2.549 -3.605 6.244" Properties=species:S:1:pos:R:3 comment="Ba4TbNp3O12 | Alexandria | PBE | optimized geometry" formation_energy_uncorrected_ev_per_atom=-3.03 final_energy_ev_per_cell=-171.3 mass_density_g_cm3=7.77 m_tot_mub_per_fu=8.0 pbc="T T T"
O 3.824 0.000 3.122
Np 2.549 3.605 0.000
Ba -1.275 3.605 0.000
Np 2.549 -1.803 3.122
Ba -1.275 -1.803 3.122
O 1.309 -0.926 1.603
Ba 3.824 0.000 0.000
O -1.275 0.901 4.683
O -3.789 2.680 4.641
O 1.275 -0.901 4.683
Ba 1.275 1.803 3.122
O -1.275 3.605 3.122
O 3.789 5.359 0.000
Np -2.549 1.803 3.122
O 1.275 4.506 1.561
Tb 0.000 0.000 0.000
O 3.824 2.704 1.561
O 3.789 -2.680 4.641
O 1.309 1.851 0.000
O -1.309 0.926 1.603

***

20
Lattice="-3.006 2.380 4.902 -5.430 -1.790 -2.461 0.663 -7.729 4.159" Properties=species:S:1:pos:R:3 comment="Ba2TbNpO6 | Alexandria | PBE | optimized geometry" formation_energy_uncorrected_ev_per_atom=-3.10 final_energy_ev_per_cell=-164.3 mass_density_g_cm3=7.47 m_tot_mub_per_fu=2.0 pbc="T T T"
Tb -3.741 -5.207 0.234
Np -2.529 -3.122 3.916
Tb -2.861 0.742 1.836
Ba -0.860 -6.244 2.504
O -3.118 -4.136 2.124
O -3.912 -3.223 -0.834
Ba -5.410 -2.084 1.645
O -2.367 -5.002 4.928
Ba -1.191 -2.380 0.425
O -5.027 0.894 2.462
Np -4.073 -1.342 -1.846
O -4.581 -2.978 4.510
Ba -5.079 -5.950 3.725
O -2.689 -1.241 2.904
O -1.939 -2.107 5.707
O -3.572 -7.192 1.301
O -3.484 -0.328 -0.054
O -7.669 0.023 1.266
O -6.125 -1.199 -1.252
O -0.477 -3.265 3.322

***

9
Lattice="-2.829 -4.622 -0.874 2.189 -4.029 -3.018 2.331 -2.336 4.811" Properties=species:S:1:pos:R:3 comment="BaNpTcO6 | Alexandria | PBE | optimized geometry" formation_energy_uncorrected_ev_per_atom=-2.42 final_energy_ev_per_cell=-76.7 mass_density_g_cm3=6.20 m_tot_mub_per_fu=4.0 pbc="T T T"
O 1.034 -5.015 -0.756
O 0.651 -6.062 1.634
O 1.096 -7.631 -2.055
Ba -0.498 -6.958 3.937
O 0.198 -8.738 0.555
Tc 0.739 -6.935 -0.189
O 2.710 -7.350 0.011
Np 0.953 -4.052 1.108
O -1.253 -6.817 -0.522

***

18
Lattice="7.567 0.134 0.095 3.854 6.514 0.095 3.854 2.243 6.116" Properties=species:S:1:pos:R:3 comment="Ba2NpTc3O12 | Alexandria | PBE | optimized geometry" formation_energy_uncorrected_ev_per_atom=-2.01 final_energy_ev_per_cell=-143.6 mass_density_g_cm3=5.61 m_tot_mub_per_fu=3.2 pbc="T T T"
O 8.216 4.782 0.517
Ba 10.435 6.074 4.308
O 5.621 0.779 0.552
O 7.059 6.822 1.964
O 8.216 2.069 4.342
O 3.453 4.503 0.552
O 5.856 6.122 4.342
Ba 4.840 2.817 1.998
O 9.418 2.769 1.964
Tc 3.784 0.067 0.048
O 11.821 4.388 5.754
O 11.821 6.881 2.239
O 9.653 8.112 5.754
Np 0.000 0.000 0.000
Tc 1.927 3.257 0.048
O 3.453 2.010 4.067
O 7.059 4.109 5.789
Tc 1.927 1.122 3.058

***

20
Lattice="5.979 0.000 0.000 0.000 5.979 0.000 0.000 0.000 8.456" Properties=species:S:1:pos:R:3 comment="Ba2NpTcO6 | Alexandria | PBE | optimized geometry" formation_energy_uncorrected_ev_per_atom=-2.54 final_energy_ev_per_cell=-164.6 mass_density_g_cm3=7.75 m_tot_mub_per_fu=0.0 pbc="T T T"
O 4.516 3.020 4.228
O 4.515 5.948 4.228
O 4.453 2.959 0.000
Ba 0.000 1.495 2.114
O 4.453 0.031 0.000
Tc 2.989 1.495 0.000
O 2.989 1.495 6.387
O 1.526 2.959 0.000
O 2.989 1.495 2.069
Ba 0.000 1.495 6.342
O 1.526 0.031 0.000
O 1.463 3.020 4.228
O 0.000 4.484 2.159
Np 0.000 4.485 0.000
O 0.000 4.484 6.297
Ba 2.989 4.485 2.114
Ba 2.989 4.485 6.342
Tc 0.000 4.484 4.228
O 1.463 5.948 4.228
Np 2.989 1.495 4.228

***

12
Lattice="-1.026 0.525 -5.123 4.501 -2.339 -1.369 -3.281 -6.318 0.010" Properties=species:S:1:pos:R:3 comment="BaNp2TeO8 | Alexandria | PBE | optimized geometry" formation_energy_uncorrected_ev_per_atom=-2.34 final_energy_ev_per_cell=-98.7 mass_density_g_cm3=7.34 m_tot_mub_per_fu=4.0 pbc="T T T"
O 0.651 -4.355 -4.287
O 2.621 -3.052 -2.180
Np -0.745 -5.687 -3.238
O -0.526 -1.421 -4.308
Te 0.000 0.000 0.000
Ba -1.641 -3.159 0.005
O 2.408 -1.257 -4.506
O -2.427 -5.080 -4.302
O -2.214 -6.875 -1.975
O 0.720 -6.711 -2.173
O -0.457 -3.777 -2.194
Np 0.939 -2.445 -3.244

***

7
Lattice="4.610 0.000 0.000 0.000 4.610 0.000 -2.305 -2.305 8.986" Properties=species:S:1:pos:R:3 comment="Ba2NpTe2O2 | Alexandria | PBE | optimized geometry" formation_energy_uncorrected_ev_per_atom=-2.10 final_energy_ev_per_cell=-47.7 mass_density_g_cm3=6.95 m_tot_mub_per_fu=3.0 pbc="T T T"
O 2.305 0.000 0.000
Np 0.000 0.000 0.000
Te 0.000 0.000 3.113
Te 2.305 2.305 5.872
O 0.000 2.305 0.000
Ba 0.000 0.000 6.826
Ba 2.305 2.305 2.160

***

12
Lattice="5.084 0.139 0.071 0.198 5.078 0.069 0.105 0.108 7.089" Properties=species:S:1:pos:R:3 comment="BaNp2TiO8 | Alexandria | PBE | optimized geometry" formation_energy_uncorrected_ev_per_atom=-2.82 final_energy_ev_per_cell=-109.2 mass_density_g_cm3=7.15 m_tot_mub_per_fu=4.0 pbc="T T T"
O 4.209 1.238 5.786
O 1.686 1.664 7.088
O 1.275 4.188 5.786
O 1.857 1.822 3.414
O 1.177 4.087 1.443
O 3.700 3.661 0.141
Np 2.677 2.648 5.491
Ba 0.052 0.054 3.544
O 4.111 1.137 1.443
Np 2.710 2.677 1.738
Ti 0.000 0.000 0.000
O 3.529 3.503 3.815

***

18
Lattice="-3.492 -4.213 0.172 5.397 -0.918 -0.063 0.187 0.314 11.471" Properties=species:S:1:pos:R:3 comment="BaNpTiO6 | Alexandria | PBE | optimized geometry" formation_energy_uncorrected_ev_per_atom=-2.99 final_energy_ev_per_cell=-158.8 mass_density_g_cm3=5.78 m_tot_mub_per_fu=1.0 pbc="T T T"
Ba 0.000 0.000 0.000
O 1.157 -3.142 1.837
O -1.393 -4.463 1.914
O 0.743 -1.869 4.011
Ti -0.482 -3.036 2.962
O 4.145 -2.288 7.506
Np -0.388 -2.879 8.697
O -2.053 -2.529 4.074
O 0.935 -1.676 9.744
O -1.264 -1.594 1.834
Np 2.481 -1.938 2.883
O 2.175 -0.197 7.481
O -0.082 -4.620 4.099
O 1.349 -2.948 7.569
O 3.485 -0.354 9.666
Ba 0.094 0.157 5.735
Ti 2.574 -1.781 8.619
O 3.356 -3.223 9.746

***

15
Lattice="5.862 0.000 0.000 -2.931 5.077 0.000 0.000 0.000 7.232" Properties=species:S:1:pos:R:3 comment="Ba3NpTi2O9 | Alexandria | PBE | optimized geometry" formation_energy_uncorrected_ev_per_atom=-3.02 final_energy_ev_per_cell=-124.5 mass_density_g_cm3=6.86 m_tot_mub_per_fu=3.0 pbc="T T T"
Ba 0.000 0.000 0.000
Ti 2.931 1.692 6.104
O 4.339 0.880 4.902
O 1.466 2.539 0.000
Ba 2.931 1.692 2.326
Np 0.000 0.000 3.616
O 2.931 0.000 0.000
Ba 0.000 3.385 4.906
Ti 0.000 3.385 1.128
O 0.000 1.760 2.330
O 1.524 0.880 4.902
O -1.466 2.539 0.000
O -1.407 4.197 2.330
O 2.931 3.317 4.902
O 1.407 4.197 2.330

***

12
Lattice="4.764 -0.376 -0.003 -0.380 5.655 -0.001 0.003 0.015 8.514" Properties=species:S:1:pos:R:3 comment="Ba2NpTlO8 | Alexandria | PBE | optimized geometry" formation_energy_uncorrected_ev_per_atom=-1.91 final_energy_ev_per_cell=-81.8 mass_density_g_cm3=6.14 m_tot_mub_per_fu=2.1 pbc="T T T"
O 0.080 4.398 1.479
O 1.669 0.978 -0.001
O 1.433 1.344 4.258
O 0.079 4.419 7.025
O 4.306 0.896 7.031
Tl 0.001 0.007 4.257
O 2.953 3.950 4.251
Ba 2.191 2.654 6.425
Np 0.000 0.000 0.000
O 2.717 4.315 8.510
Ba 2.196 2.640 2.085
O 4.308 0.875 1.485

***

20
Lattice="-0.779 -6.796 3.577 3.876 -0.996 -6.602 3.885 4.875 4.554" Properties=species:S:1:pos:R:3 comment="BaNp3Tl4O12 | Alexandria | PBE | optimized geometry" formation_energy_uncorrected_ev_per_atom=-2.21 final_energy_ev_per_cell=-153.9 mass_density_g_cm3=8.71 m_tot_mub_per_fu=3.0 pbc="T T T"
O 2.209 -5.559 -2.157
O 0.890 -0.551 2.331
Ba 0.000 0.000 0.000
O 4.654 -0.009 -1.780
O 2.325 -4.377 0.521
O 0.888 -2.234 -0.867
O 2.225 1.112 -0.587
Np 3.880 1.939 -1.024
Np 1.548 -3.896 -1.512
O 3.489 -2.927 -2.024
Np 1.553 -0.961 4.066
O 5.536 2.767 -1.460
Tl 1.942 2.437 2.277
O 4.657 1.459 1.009
O 2.327 -2.909 3.310
Tl -0.389 -3.398 1.789
O 3.493 0.009 3.554
O 2.215 -1.371 5.800
Tl 1.938 -0.498 -3.301
Tl 3.491 -1.459 0.765

***

10
Lattice="6.503 0.000 -0.239 0.000 6.319 0.000 -2.826 -3.160 4.760" Properties=species:S:1:pos:R:3 comment="Ba2NpTlO6 | Alexandria | PBE | optimized geometry" formation_energy_uncorrected_ev_per_atom=-2.49 final_energy_ev_per_cell=-73.8 mass_density_g_cm3=7.05 m_tot_mub_per_fu=0.0 pbc="T T T"
O 5.221 4.573 0.489
Tl 3.252 0.000 -0.119
Ba 3.604 3.160 2.223
O 0.952 3.160 1.784
O 2.726 0.000 2.738
Ba 0.074 0.000 2.299
O -1.543 -1.413 4.033
Np 0.000 3.160 0.000
O 5.221 1.746 0.489
O -1.543 1.413 4.033

***

15
Lattice="-2.707 -5.651 0.924 4.917 1.779 3.575 -4.924 3.205 5.176" Properties=species:S:1:pos:R:3 comment="Ba3Np2TlO9 | Alexandria | PBE | optimized geometry" formation_energy_uncorrected_ev_per_atom=-2.62 final_energy_ev_per_cell=-117.9 mass_density_g_cm3=7.53 m_tot_mub_per_fu=3.0 pbc="T T T"
O 2.010 1.399 4.676
O -1.354 -2.826 0.462
Ba 0.000 0.000 0.000
Np 1.619 -0.205 3.487
O -0.203 0.599 3.066
Np -4.333 -0.462 6.189
O -2.511 -1.266 6.609
O 0.792 -1.145 5.092
O -4.725 -2.067 5.000
O 2.458 0.889 1.788
Ba -0.791 1.363 6.020
O 1.105 -1.936 2.250
O -3.506 0.477 4.584
Ba -1.924 -2.030 3.656
Tl -2.462 1.603 2.588

***

20
Lattice="6.068 0.000 -0.013 0.000 6.526 0.000 0.041 0.000 9.253" Properties=species:S:1:pos:R:3 comment="BaNpTl2O6 | Alexandria | PBE | optimized geometry" formation_energy_uncorrected_ev_per_atom=-1.93 final_energy_ev_per_cell=-137.2 mass_density_g_cm3=7.97 m_tot_mub_per_fu=0.0 pbc="T T T"
Tl 3.032 3.551 6.977
O 2.361 6.076 6.617
O 0.796 1.543 0.602
O 5.374 3.714 1.984
O 1.346 0.948 4.259
Tl 6.045 6.239 2.344
O 5.313 4.984 8.638
O 1.709 4.211 0.361
Np 3.054 0.000 4.620
Tl 0.064 0.288 6.896
Ba 3.034 0.000 -0.007
O 2.258 4.806 4.018
Ba 0.021 3.263 4.627
O 4.400 2.315 8.879
O 4.763 5.578 4.981
O 3.748 0.451 2.623
Np 0.000 3.263 0.000
O 0.735 2.813 7.256
Tl 3.077 2.975 2.263
O 3.850 1.720 5.222

***

18
Lattice="-0.326 -5.207 2.393 4.892 2.990 0.286 -3.506 4.785 9.934" Properties=species:S:1:pos:R:3 comment="BaNpTlO6 | Alexandria | PBE | optimized geometry" formation_energy_uncorrected_ev_per_atom=-2.09 final_energy_ev_per_cell=-131.6 mass_density_g_cm3=6.79 m_tot_mub_per_fu=0.0 pbc="T T T"
Np 0.537 -1.279 4.175
Ba -1.753 2.392 4.967
Tl 2.276 1.454 3.472
O 1.538 3.773 10.209
Np 0.523 3.846 8.439
O 0.167 5.835 8.731
O 2.270 -0.829 3.193
Ba 0.000 0.000 0.000
Tl -1.216 1.114 9.141
O 1.450 -1.512 5.985
O -0.478 -1.206 2.405
O -0.390 4.080 6.628
O 0.893 -3.268 3.882
O 0.366 0.725 4.525
O 2.339 4.150 7.557
O -1.279 -1.583 5.056
O 0.694 1.842 8.089
O -1.210 3.396 9.420

***

11
Lattice="6.625 0.068 0.176 -3.215 5.793 0.176 -1.109 -1.907 6.230" Properties=species:S:1:pos:R:3 comment="Ba2NpTl2O6 | Alexandria | PBE | optimized geometry" formation_energy_uncorrected_ev_per_atom=-2.24 final_energy_ev_per_cell=-75.9 mass_density_g_cm3=6.89 m_tot_mub_per_fu=1.0 pbc="T T T"
Np -0.555 -0.953 3.115
O -1.417 0.566 4.194
Tl 5.127 0.939 0.176
O 1.960 3.370 4.719
O 3.718 3.388 2.388
Ba 2.760 1.040 3.291
O 1.193 -0.952 4.194
O 1.108 4.907 2.388
O 0.340 0.585 1.864
Tl -1.718 4.922 0.176
Ba -0.460 2.914 3.291

***

18
Lattice="7.783 -0.146 -0.103 3.717 6.839 -0.103 3.717 2.164 6.489" Properties=species:S:1:pos:R:3 comment="Ba2TmNp3O12 | Alexandria | PBE | optimized geometry" formation_energy_uncorrected_ev_per_atom=-2.96 final_energy_ev_per_cell=-159.9 mass_density_g_cm3=6.34 m_tot_mub_per_fu=4.0 pbc="T T T"
Np 1.858 3.420 -0.052
O 5.423 6.169 4.375
O 7.174 7.188 1.907
O 9.488 8.290 5.880
O 3.322 1.934 4.303
Tm 0.000 0.000 0.000
O 7.174 4.176 6.153
O 11.894 4.157 5.880
Ba 4.783 2.784 1.975
O 8.042 1.669 4.375
Np 3.891 -0.073 -0.052
O 8.042 4.681 0.129
O 3.322 4.701 0.402
O 11.894 6.923 1.979
Np 1.858 1.082 3.244
O 9.793 2.689 1.907
O 5.728 0.567 0.402
Ba 10.434 6.073 4.308